Entry from Alexandria via LeMat-Bulk: crystalline VSn2F at its relaxed geometry (PBE with a Hubbard U).

abc: 4.8232 4.8232 4.8232
angles: 60.00 60.00 60.00
Closest atoms and distances in Å follow each position.
Atoms (fractional coordinates):
V: 0.5000 0.5000 0.5000  8 Sn 2.95
Sn: 0.2500 0.2500 0.2500  4 F 2.95, 4 V 2.95
Sn: 0.7500 0.7500 0.7500  4 F 2.95, 4 V 2.95
F: 0.0000 0.0000 0.0000  8 Sn 2.95

Calculated values
For the total energy, the calculation gives -4.43 eV per atom. As for the volume: 79.3 Å³/cell. For the energy relative to the lowest polymorph listed for this composition, the calculation gives 0.0 meV per atom. As for the mass density: 6.43 g/cm³.